Crystalline Mg2SnW at its relaxed geometry, computed with PBE.

a = 5.943 Å, b = 4.444 Å, c = 13.866 Å
α = 90.00°, β = 106.44°, γ = 90.00°
Atoms (fractional coordinates):
Mg1 0.110 0.000 0.374
Mg2 0.110 0.500 0.874
Mg3 0.391 0.500 0.314
Mg4 0.391 0.000 0.814
Mg5 0.548 0.500 0.695
Mg6 0.653 0.500 0.036
Mg7 0.548 0.000 0.195
Mg8 0.653 0.000 0.536
W1 0.001 0.500 0.664
W2 0.896 0.500 0.245
W3 0.001 0.000 0.164
W4 0.896 0.000 0.745
Sn1 0.213 0.500 0.094
Sn2 0.866 0.500 0.445
Sn3 0.213 0.000 0.594
Sn4 0.866 0.000 0.945

Summary:
Energy of formation from the pure elements (eV per atom): 0.22
Mass density (Mg/m³): 6.64

Crystalline Mg2SnW at its relaxed geometry, computed with PBE.

a = 7.819 Å, b = 7.819 Å, c = 6.181 Å
α = 50.76°, β = 50.76°, γ = 90.00°
Atoms (fractional coordinates):
Mg1 0.634 0.125 0.250
Mg2 0.116 0.625 0.250
Mg3 0.375 0.366 0.750
Mg4 0.875 0.884 0.750
W1 0.000 0.000 0.000
W2 0.750 0.250 0.500
Sn1 0.500 0.500 0.000
Sn2 0.250 0.750 0.500

Summary:
Energy of formation from the pure elements (eV per atom): 0.80
Mass density (Mg/m³): 6.91

Crystalline Mg6SnW at its relaxed geometry, computed with PBE.

a = 6.181 Å, b = 6.181 Å, c = 5.097 Å
α = 90.00°, β = 90.00°, γ = 122.57°
Atoms (fractional coordinates):
Mg1 0.178 0.822 0.000
Mg2 0.329 0.168 0.500
Mg3 0.832 0.671 0.500
Mg4 0.181 0.347 0.000
Mg5 0.653 0.819 0.000
Mg6 0.666 0.334 0.000
W1 0.330 0.670 0.500
Sn1 0.830 0.170 0.500

Summary:
Energy of formation from the pure elements (eV per atom): 0.23
E above lowest polymorph (eV per atom): 0.018
Mass density (Mg/m³): 4.54

Crystalline MgSnW2 at its relaxed geometry, computed with PBE.

a = 7.661 Å, b = 7.661 Å, c = 6.060 Å
α = 50.79°, β = 50.79°, γ = 90.00°
Atoms (fractional coordinates):
Mg1 0.250 0.750 0.500
Mg2 0.500 0.500 0.000
W1 0.104 0.625 0.250
W2 0.646 0.125 0.250
W3 0.875 0.896 0.750
W4 0.375 0.354 0.750
Sn1 0.000 0.000 0.000
Sn2 0.750 0.250 0.500

Summary:
Energy of formation from the pure elements (eV per atom): 1.21
E above lowest polymorph (eV per atom): 0.334
Mass density (Mg/m³): 10.64

Crystalline Mg2SnW at its relaxed geometry, computed with PBE.

a = 9.930 Å, b = 3.303 Å, c = 10.842 Å
α = 90.00°, β = 110.58°, γ = 90.00°
Atoms (fractional coordinates):
Mg1 0.685 0.000 0.470
Mg2 0.944 0.500 0.473
Mg3 0.944 0.000 0.973
Mg4 0.489 0.500 0.168
Mg5 0.685 0.500 0.970
Mg6 0.177 0.000 0.452
Mg7 0.489 0.000 0.668
Mg8 0.177 0.500 0.952
W1 0.028 0.500 0.207
W2 0.028 0.000 0.707
W3 0.214 0.500 0.694
W4 0.214 0.000 0.194
Sn1 0.784 0.000 0.231
Sn2 0.413 0.500 0.406
Sn3 0.784 0.500 0.731
Sn4 0.413 0.000 0.906

Summary:
Energy of formation from the pure elements (eV per atom): 0.20
Mass density (Mg/m³): 7.01

Crystalline Mg2SnW at its relaxed geometry, computed with PBE.

a = 10.795 Å, b = 3.376 Å, c = 9.774 Å
α = 90.00°, β = 107.08°, γ = 90.00°
Atoms (fractional coordinates):
Mg1 0.058 0.000 0.193
Mg2 0.337 0.500 0.318
Mg3 0.508 0.500 0.084
Mg4 0.058 0.500 0.693
Mg5 0.946 0.000 0.884
Mg6 0.508 0.000 0.584
Mg7 0.337 0.000 0.818
Mg8 0.946 0.500 0.384
W1 0.829 0.000 0.569
W2 0.742 0.000 0.212
W3 0.742 0.500 0.712
W4 0.829 0.500 0.069
Sn1 0.216 0.500 0.006
Sn2 0.216 0.000 0.506
Sn3 0.627 0.500 0.395
Sn4 0.627 0.000 0.895

Summary:
Energy of formation from the pure elements (eV per atom): 0.17
Mass density (Mg/m³): 6.85